Material: Ga3SiPt3
Method: DFT, PBE-GGA
State: relaxed

It has space group C2/m (No. 12), with a = 7.383 Å, b = 9.675 Å, c = 6.856 Å, α = 90.00°, β = 95.13° and γ = 90.00°. The distinct sites, in fractional coordinates, are Ga at (0.000, 0.135, 0.000), Ga at (0.000, 0.240, 0.500), Ga at (0.056, 0.500, 0.183), Si at (0.218, 0.000, 0.355), Pt at (0.120, 0.000, 0.683) and Pt at (0.189, 0.297, 0.802).

Its uncorrected formation energy is -3.18 eV per formula unit. The total DFT energy (no corrections) is -5.12 eV/atom.